The following is a GGA+U calculation of a relaxed Li3CrF7 crystal, from the Alexandria database.

a b c (Å): 5.0129 5.0129 5.4504
angles (deg): 109.92 109.92 97.66
Closest atoms and distances in Å follow each position.
Sites, in units of the cell vectors:
1 Li 0.0000 0.0000 0.0000  5 F 1.93-2.08
2 Li 0.2178 0.6795 0.3790  6 F 2.09-2.16
3 Li 0.6795 0.2178 0.3790  6 F 2.09-2.16
4 Cr 0.5096 0.5096 0.9228  7 F 1.91-1.99
5 F 0.1407 0.4599 0.6280  1 Cr 1.91, 1 Li 2.11
6 F 0.3273 0.3273 0.1058  1 Cr 1.92, 1 Li 1.93
7 F 0.3487 0.8159 0.1058  1 Cr 1.96, 3 Li 2.08-2.10
8 F 0.4599 0.1407 0.6280  1 Cr 1.91, 1 Li 2.11
9 F 0.6656 0.6656 0.7069  1 Cr 1.92, 1 Li 1.94
10 F 0.8159 0.3487 0.1058  1 Cr 1.96, 3 Li 2.08-2.10
11 F 0.8490 0.8490 0.2342  3 Li 1.98-2.16, 1 Cr 1.99

## Properties
The calculated density is 2.942 g/cm³. As for the symmetry: Cm, No. 8. As for the energy: -5.025 eV/atom. Its total magnetization is 1.960 Bohr magnetons per cell.